Record 1
! Ho3Co PBE optimized geometry; values from VASP
&SYSTEM
  ibrav = 0, nat = 32, ntyp = 2
/
ATOMIC_SPECIES
Ho 164.93 Ho.upf
Co 58.93 Co.upf
CELL_PARAMETERS angstrom
11.289 0.000 0.000
0.000 11.289 0.000
0.000 0.000 6.236
ATOMIC_POSITIONS angstrom
Ho 0.384 6.698 1.199
Ho 1.053 10.905 4.317
Ho 1.263 7.533 4.297
Ho 1.356 2.122 0.169
Ho 1.888 10.026 1.179
Ho 2.122 4.288 2.949
Ho 3.522 1.356 2.949
Ho 3.757 6.908 1.179
Ho 4.288 3.522 0.169
Ho 4.381 9.401 4.297
Ho 4.591 6.029 4.317
Ho 5.261 10.236 1.199
Ho 6.029 1.053 5.037
Ho 6.698 5.261 1.919
Ho 6.908 1.888 1.939
Ho 7.001 7.767 6.067
Ho 7.533 4.381 5.057
Ho 7.767 9.933 3.287
Ho 9.167 7.001 3.287
Ho 9.401 1.263 5.057
Ho 9.933 9.167 6.067
Ho 10.026 3.757 1.939
Ho 10.236 0.384 1.919
Ho 10.905 4.591 5.037
Co 0.662 2.016 3.130
Co 2.016 4.982 6.224
Co 3.629 0.662 6.224
Co 4.982 3.629 3.130
Co 6.307 7.660 3.106
Co 7.660 10.627 0.012
Co 9.274 6.307 0.012
Co 10.627 9.274 3.106
! DFT formation energy = -0.4 eV/f.u.
! spin magnetization = 0.0 μB per cell
! raw total energy = -5.302 eV/atom
! DOS at the Fermi energy = 4.03 states/eV/f.u.

Record 2
! Sr2Hg5Pd12 PBE optimized geometry; values from VASP
&SYSTEM
  ibrav = 0, nat = 19, ntyp = 3
/
ATOMIC_SPECIES
Sr 87.62 Sr.upf
Hg 200.59 Hg.upf
Pd 106.42 Pd.upf
CELL_PARAMETERS angstrom
4.785 2.762 4.670
-4.785 2.762 4.670
0.000 -5.525 4.670
ATOMIC_POSITIONS angstrom
Sr 0.000 0.000 2.064
Sr 0.000 0.000 11.947
Hg -2.392 -1.381 4.670
Hg 0.000 0.000 5.614
Hg -2.392 1.381 9.341
Hg 0.000 2.762 4.670
Hg 0.000 0.000 8.397
Pd 0.000 -2.793 4.498
Pd -2.419 1.397 4.498
Pd -1.453 -2.517 7.006
Pd -2.906 0.000 7.006
Pd -2.419 -1.397 9.514
Pd 1.453 -2.517 7.006
Pd -1.453 2.517 7.006
Pd 2.419 1.397 4.498
Pd 2.906 0.000 7.006
Pd 1.453 2.517 7.006
Pd 2.419 -1.397 9.514
Pd 0.000 2.793 9.514
! DFT formation energy = -4.7 eV/f.u.
! spin magnetization = 0.0 μB per cell
! raw total energy = -3.786 eV/atom
! DOS at the Fermi energy = 9.44 states/eV/f.u.

Record 3
! Cr4H2N PBE optimized geometry; values from VASP
&SYSTEM
  ibrav = 0, nat = 7, ntyp = 3
/
ATOMIC_SPECIES
Cr 52.00 Cr.upf
H 1.01 H.upf
N 14.01 N.upf
CELL_PARAMETERS angstrom
-1.882 1.882 4.187
1.882 -1.882 4.187
1.882 1.882 -4.187
ATOMIC_POSITIONS angstrom
Cr 1.882 0.000 0.000
Cr 0.000 0.000 1.945
Cr 0.000 1.882 0.000
Cr 0.000 0.000 6.428
H 0.000 0.000 3.569
H 0.000 0.000 4.804
N 0.000 0.000 0.000
! spin magnetization = 0.0 μB per cell
! raw total energy = -7.568 eV/atom
! DOS at the Fermi energy = 7.02 states/eV/f.u.

Record 4
! GaAs2F PBE optimized geometry; values from VASP
&SYSTEM
  ibrav = 0, nat = 4, ntyp = 3
/
ATOMIC_SPECIES
Ga 69.72 Ga.upf
As 74.92 As.upf
F 19.00 F.upf
CELL_PARAMETERS angstrom
0.000 3.171 3.171
3.171 0.000 3.171
3.171 3.171 0.000
ATOMIC_POSITIONS angstrom
Ga 0.000 0.000 0.000
As 1.585 1.585 1.585
As 4.756 4.756 4.756
F 3.171 3.171 3.171
! raw formation energy = -0.3190 eV per atom
! spin magnetization = 0.0 μB per cell
! raw total energy = -3.868 eV/atom
! DOS at the Fermi energy = 1.63 states/eV/f.u.
! energy above the lowest structure with this stoichiometry = 130 meV/atom

Record 5
! NdEr2Tm2Sc2 PBE optimized geometry; values from VASP
&SYSTEM
  ibrav = 0, nat = 7, ntyp = 4
/
ATOMIC_SPECIES
Nd 144.24 Nd.upf
Er 167.26 Er.upf
Tm 168.93 Tm.upf
Sc 44.96 Sc.upf
CELL_PARAMETERS angstrom
8.574 -1.689 0.000
8.574 1.689 0.000
-3.616 0.000 7.275
ATOMIC_POSITIONS angstrom
Nd 0.000 0.000 0.000
Er 5.217 0.000 4.236
Er 8.315 0.000 3.039
Tm 2.580 0.000 2.125
Tm 10.952 0.000 5.150
Sc 5.583 0.000 0.778
Sc 7.949 0.000 6.497
! DFT formation energy = 1.3 eV/f.u.
! spin magnetization = 0.0 μB per cell
! raw total energy = -4.889 eV/atom
! DOS at the Fermi energy = 11.68 states/eV/f.u.

Record 6
! CdTc2WC PBE optimized geometry; values from VASP
&SYSTEM
  ibrav = 0, nat = 5, ntyp = 4
/
ATOMIC_SPECIES
Cd 112.41 Cd.upf
Tc 98.00 Tc.upf
W 183.84 W.upf
C 12.01 C.upf
CELL_PARAMETERS angstrom
4.951 0.000 0.000
0.000 4.951 0.000
0.000 0.000 5.014
ATOMIC_POSITIONS angstrom
Cd 0.000 0.000 0.000
Tc 0.000 2.475 0.000
Tc 2.475 0.000 0.000
W 0.000 0.000 2.507
C 2.475 2.475 2.507
! DFT formation energy = 19.9 eV/f.u.
! spin magnetization = 3.1 μB per cell
! raw total energy = -4.790 eV/atom
! DOS at the Fermi energy = 4.27 states/eV/f.u.